## PuFeHgO6 (PBE+U)

Data for an optimized crystal structure of PuFeHgO6.

## Properties
Energy, eV/atom: -7.096
M_tot, Bohr magnetons per cell: 12.000

abc: 5.381 5.381 9.907
angles: 90.00 90.00 120.00
Atoms (fractional coordinates):
Pu (0.333, 0.667, 0.250)
Pu (0.667, 0.333, 0.750)
Fe (0.333, 0.667, 0.750)
Fe (0.667, 0.333, 0.250)
Hg (0.000, 0.000, 0.000)
Hg (0.000, 0.000, 0.500)
O (0.003, 0.364, 0.141)
O (0.003, 0.639, 0.359)
O (0.361, 0.364, 0.359)
O (0.361, 0.997, 0.141)
O (0.364, 0.003, 0.641)
O (0.364, 0.361, 0.859)
O (0.636, 0.639, 0.141)
O (0.636, 0.997, 0.359)
O (0.639, 0.003, 0.859)
O (0.639, 0.636, 0.641)
O (0.997, 0.361, 0.641)
O (0.997, 0.636, 0.859)